TmZnAg after structural relaxation. Source: OQMD, functional GGA-PBE.

POSCAR file:
```
TmZnAg
1.0
0.000 3.236 3.236
3.236 0.000 3.236
3.236 3.236 0.000
Tm Zn Ag
1 1 1
direct
0.000 0.000 0.000
0.750 0.750 0.750
0.500 0.500 0.500
```

Properties
Energy relative to the elements: -21 kJ/mol of formula units
Raw total energy: -8.78 eV per formula unit

=====

TaBeCuB after structural relaxation. Source: OQMD, functional GGA-PBE.

POSCAR file:
```
TaBeCuB
1.0
0.000 2.794 2.794
2.794 0.000 2.794
2.794 2.794 0.000
Ta Be Cu B
1 1 1 1
direct
0.000 0.000 0.000
0.750 0.750 0.750
0.500 0.500 0.500
0.250 0.250 0.250
```

Properties
Raw total energy: -24.65 eV per formula unit
Polymorph energy (0 for the lowest one): 0.00 eV per formula unit

=====

SmMgZn4 after structural relaxation. Source: OQMD, functional GGA-PBE.

POSCAR file:
```
SmMgZn4
1.0
4.357 0.000 0.000
-2.178 3.773 0.000
0.000 0.000 6.938
Sm Mg Zn
1 1 4
direct
0.000 0.000 0.000
0.000 0.000 0.500
0.333 0.667 0.283
0.333 0.667 0.717
0.667 0.333 0.283
0.667 0.333 0.717
```

Properties
Raw total energy: -13.13 eV per formula unit

=====

YZn2Sn after structural relaxation. Source: OQMD, functional GGA-PBE.

POSCAR file:
```
YZn2Sn
1.0
0.000 3.516 3.516
3.516 0.000 3.516
3.516 3.516 0.000
Y Zn Sn
1 2 1
direct
0.000 0.000 0.000
0.250 0.250 0.250
0.500 0.500 0.500
0.750 0.750 0.750
```

Properties
Raw total energy: -13.60 eV per formula unit

=====

KZrTlTe3 after structural relaxation. Source: OQMD, functional GGA-PBE.

POSCAR file:
```
KZrTlTe3
1.0
8.557 0.000 0.000
0.000 4.267 0.000
-1.049 0.000 11.531
K Zr Tl Te
2 2 2 6
direct
0.247 0.250 0.484
0.753 0.750 0.516
0.404 0.750 0.829
0.596 0.250 0.171
0.065 0.750 0.142
0.935 0.250 0.858
0.113 0.750 0.698
0.310 0.250 0.986
0.437 0.750 0.292
0.563 0.250 0.708
0.690 0.750 0.014
0.887 0.250 0.302
```

Properties
Raw total energy: -26.30 eV per formula unit
Polymorph energy (0 for the lowest one): 0.00 eV per formula unit

=====

CsFeHgSe3 after structural relaxation. Source: OQMD, functional GGA-PBE.

POSCAR file:
```
CsFeHgSe3
1.0
9.894 0.000 0.000
0.000 4.007 0.000
-3.513 0.000 9.602
Cs Fe Hg Se
2 2 2 6
direct
0.215 0.250 0.229
0.785 0.750 0.771
0.083 0.250 0.598
0.917 0.750 0.402
0.345 0.750 0.893
0.655 0.250 0.107
0.121 0.250 0.837
0.175 0.750 0.520
0.494 0.750 0.176
0.506 0.250 0.824
0.825 0.250 0.480
0.879 0.750 0.163
```

Properties
Raw total energy: -22.21 eV per formula unit
Polymorph energy (0 for the lowest one): 0.00 eV per formula unit

=====

Nb4CoNiC2 after structural relaxation. Source: OQMD, functional GGA-PBE.

POSCAR file:
```
Nb4CoNiC2
1.0
3.115 0.000 0.000
-1.558 2.698 0.000
0.000 0.000 12.927
Nb Co Ni C
4 1 1 2
direct
0.000 0.000 0.151
0.000 0.000 0.849
0.667 0.333 0.347
0.667 0.333 0.653
0.667 0.333 0.000
0.000 0.000 0.500
0.333 0.667 0.250
0.333 0.667 0.750
```

Properties
Raw total energy: -73.20 eV per formula unit

=====

LiInCoBi after structural relaxation. Source: OQMD, functional GGA-PBE.

POSCAR file:
```
LiInCoBi
1.0
0.000 3.292 3.292
3.292 0.000 3.292
3.292 3.292 0.000
Li In Co Bi
1 1 1 1
direct
0.000 0.000 0.000
0.750 0.750 0.750
0.500 0.500 0.500
0.250 0.250 0.250
```

Properties
Raw total energy: -15.59 eV per formula unit
Polymorph energy (0 for the lowest one): 0.00 eV per formula unit

=====

KLuNiTe3 after structural relaxation. Source: OQMD, functional GGA-PBE.

POSCAR file:
```
KLuNiTe3
1.0
2.078 -8.552 0.000
2.078 8.552 0.000
0.000 0.000 10.477
K Lu Ni Te
2 2 2 6
direct
0.248 0.752 0.750
0.752 0.248 0.250
0.500 0.500 0.000
0.500 0.500 0.500
0.010 0.990 0.250
0.990 0.010 0.750
0.117 0.883 0.083
0.117 0.883 0.417
0.417 0.583 0.250
0.583 0.417 0.750
0.883 0.117 0.583
0.883 0.117 0.917
```

Properties
Raw total energy: -25.84 eV per formula unit
Polymorph energy (0 for the lowest one): 0.08 eV per formula unit

=====

BaHfSi after structural relaxation. Source: OQMD, functional GGA-PBE.

POSCAR file:
```
BaHfSi
1.0
0.000 3.519 3.519
3.519 0.000 3.519
3.519 3.519 0.000
Ba Hf Si
1 1 1
direct
0.000 0.000 0.000
0.500 0.500 0.500
0.250 0.250 0.250
```

Properties
Raw total energy: -16.05 eV per formula unit

=====

BeFeSi3 after structural relaxation. Source: OQMD, functional GGA-PBE.

POSCAR file:
```
BeFeSi3
1.0
4.120 0.000 0.000
0.000 4.120 0.000
0.000 0.000 4.120
Be Fe Si
1 1 3
direct
0.000 0.000 0.000
0.500 0.500 0.500
0.000 0.000 0.500
0.000 0.500 0.000
0.500 0.000 0.000
```

Properties
Raw total energy: -23.53 eV per formula unit

=====

TmAlOs after structural relaxation. Source: OQMD, functional GGA-PBE.

POSCAR file:
```
TmAlOs
1.0
0.000 3.227 3.227
3.227 0.000 3.227
3.227 3.227 0.000
Tm Al Os
1 1 1
direct
0.000 0.000 0.000
0.750 0.750 0.750
0.250 0.250 0.250
```

Properties
Raw total energy: -17.19 eV per formula unit